PBE NiGe, relaxed; symmetry = I-43m (217); energy relative to the elements = 0.1250 eV per atom; E = -5.074 eV/atom
1.0
-3.530 3.530 3.530
3.530 -3.530 3.530
3.530 3.530 -3.530
Ni Ge
4 4
Cartesian
2.648 2.648 -2.648
2.648 -2.648 2.648
0.882 0.882 0.882
-2.648 2.648 2.648
1.365 1.365 -1.365
1.365 -1.365 1.365
-1.365 1.365 1.365
2.165 2.165 2.165

=====

PBE Zr2Ti2Br7, relaxed; symmetry = C2/c (15); formation energy (no corrections) = -10.0 eV/f.u.; E = -4.960 eV/atom
1.0
2.795 -6.166 0.000
2.795 6.166 0.000
-1.237 0.000 16.696
Zr Ti Br
4 4 14
Cartesian
1.953 5.575 9.814
1.781 5.575 15.229
2.572 -5.575 1.467
2.399 -5.575 6.881
1.093 1.243 16.208
2.641 1.243 8.835
1.712 -1.243 7.861
3.259 -1.243 0.487
2.486 5.846 4.174
2.093 4.075 7.533
2.878 4.075 0.815
1.554 2.989 14.205
2.180 2.989 10.838
2.552 0.673 2.025
2.419 0.673 6.323
1.934 -0.673 10.373
1.800 -0.673 14.671
2.173 -2.989 5.857
2.799 -2.989 2.490
1.474 -4.075 15.880
2.260 -4.075 9.163
1.867 -5.846 12.522

=====

PBE LaTl2Sb2, relaxed; symmetry = P4/mbm (127); formation energy (no corrections) = -1.4 eV/f.u.; E = -3.870 eV/atom; E above lowest polymorph = 0.230 eV/atom
1.0
8.231 0.000 0.000
0.000 8.231 0.000
0.000 0.000 4.790
La Tl Sb
2 4 4
Cartesian
0.000 0.000 0.000
4.116 4.116 0.000
1.479 2.637 2.395
2.637 6.753 2.395
5.594 1.479 2.395
6.753 5.594 2.395
1.026 5.141 0.000
3.090 1.026 0.000
5.141 7.206 0.000
7.206 3.090 0.000

=====

PBE Be3P, relaxed; symmetry = Fm-3m (225); energy relative to the elements = 0.5562 eV per atom; E = -3.591 eV/atom; E above lowest polymorph = 0.347 eV/atom
1.0
0.000 2.707 2.707
2.707 0.000 2.707
2.707 2.707 0.000
Be P
3 1
Cartesian
0.000 0.000 0.000
1.354 1.354 1.354
4.061 4.061 4.061
2.707 2.707 2.707

=====

PBE DyBe2Au6, relaxed; symmetry = Fd-3m (227); energy relative to the elements = -0.1665 eV per atom; E = -3.691 eV/atom
1.0
0.000 5.629 5.629
5.629 0.000 5.629
5.629 5.629 0.000
Dy Be Au
2 4 12
Cartesian
1.407 1.407 1.407
9.850 9.850 9.850
5.629 2.814 2.814
2.814 5.629 2.814
2.814 2.814 5.629
5.629 5.629 5.629
4.221 4.221 1.614
4.221 1.614 4.221
6.829 4.221 4.221
7.036 7.036 4.428
7.036 4.428 7.036
9.643 7.036 7.036
1.614 4.221 4.221
4.221 6.829 4.221
4.221 4.221 6.829
4.428 7.036 7.036
7.036 9.643 7.036
7.036 7.036 9.643

=====

PBE PrNd2PbN, relaxed; symmetry = P4/mmm (123); formation energy (no corrections) = -4.3 eV/f.u.; E = -6.140 eV/atom
1.0
5.039 0.000 0.000
0.000 5.039 0.000
0.000 0.000 5.084
Pr Nd Pb N
1 2 1 1
Cartesian
0.000 0.000 0.000
0.000 2.520 2.542
2.520 0.000 2.542
2.520 2.520 0.000
0.000 0.000 2.542

=====

PBE TaZnIn2, relaxed; symmetry = Pmmm (47); energy relative to the elements = 0.2415 eV per atom; E = -4.409 eV/atom
1.0
3.173 0.000 0.000
0.000 4.176 0.000
0.000 0.000 5.959
Ta Zn In
1 1 2
Cartesian
0.000 0.000 0.000
0.000 0.000 2.980
1.587 2.088 1.495
1.587 2.088 4.464

=====

PBE LiPmMgSc, relaxed; symmetry = F-43m (216); energy relative to the elements = 0.0640 eV per atom; E = -3.584 eV/atom
1.0
0.000 3.699 3.699
3.699 0.000 3.699
3.699 3.699 0.000
Li Pm Mg Sc
1 1 1 1
Cartesian
0.000 0.000 0.000
1.850 1.850 1.850
3.699 3.699 3.699
5.549 5.549 5.549

=====

PBE MgNiAs2, relaxed; symmetry = C2/m (12); energy relative to the elements = -0.2583 eV per atom; E = -4.427 eV/atom
1.0
3.178 -1.838 0.000
3.178 1.838 0.000
-2.146 0.000 6.095
Mg Ni As
1 1 2
Cartesian
0.000 0.000 0.000
2.105 0.000 3.047
-0.014 0.000 4.213
4.225 0.000 1.882

=====

PBE NaZrSe, relaxed; symmetry = R-3m (166); formation energy (no corrections) = -2.0 eV/f.u.; E = -5.105 eV/atom
1.0
2.176 1.256 10.430
-2.176 1.256 10.430
0.000 -2.512 10.430
Na Zr Se
2 2 2
Cartesian
0.000 0.000 3.773
0.000 0.000 27.518
0.000 0.000 9.518
0.000 0.000 21.773
0.000 0.000 12.294
0.000 0.000 18.997

=====

PBE RuC, relaxed; symmetry = I4/m (87); energy relative to the elements = 0.5531 eV per atom; E = -8.697 eV/atom; E above lowest polymorph = 0.188 eV/atom
1.0
-3.913 3.913 1.765
3.913 -3.913 1.765
3.913 3.913 -1.765
Ru C
4 4
Cartesian
5.292 1.082 0.000
1.082 2.534 0.000
2.832 1.379 1.765
-1.379 2.832 1.765
2.014 0.782 0.000
3.131 -1.899 1.765
0.782 5.812 0.000
1.899 3.131 1.765

=====

PBE AcZn2Cu4, relaxed; symmetry = I4/mmm (139); energy relative to the elements = 0.1387 eV per atom; E = -3.153 eV/atom; E above lowest polymorph = 0.289 eV/atom
1.0
-3.584 3.584 2.815
3.584 -3.584 2.815
3.584 3.584 -2.815
Ac Zn Cu
1 2 4
Cartesian
0.000 0.000 0.000
3.584 0.000 1.407
0.000 3.584 1.407
3.584 1.933 0.000
1.933 3.584 0.000
1.651 0.000 2.815
0.000 1.651 2.815

=====

PBE LaTm4Mg5, relaxed; symmetry = P4/mmm (123); energy relative to the elements = -0.0648 eV per atom; E = -3.143 eV/atom
1.0
3.771 0.000 0.000
0.000 3.771 0.000
0.000 0.000 19.212
La Tm Mg
1 4 5
Cartesian
0.000 0.000 0.000
0.000 0.000 4.022
0.000 0.000 7.744
0.000 0.000 11.468
0.000 0.000 15.190
1.886 1.886 2.163
1.886 1.886 5.872
1.886 1.886 9.606
1.886 1.886 13.340
1.886 1.886 17.049

=====

PBE KHg6Au6, relaxed; symmetry = Immm (71); energy relative to the elements = -0.0561 eV per atom; E = -1.792 eV/atom
1.0
-2.868 5.003 5.038
2.868 -5.003 5.038
2.868 5.003 -5.038
K Hg Au
1 6 6
Cartesian
0.000 0.000 0.000
2.868 1.886 0.000
0.000 0.000 3.482
0.000 3.484 0.000
0.000 6.522 0.000
0.000 0.000 6.595
0.000 3.117 5.038
1.434 2.501 -2.519
1.434 -2.501 2.519
2.868 0.000 2.268
-1.434 2.501 2.519
1.434 2.501 2.519
0.000 5.003 2.770

=====

PBE BeTlRu3, relaxed; symmetry = Pm-3m (221); energy relative to the elements = 2.6023 eV per atom; E = -4.182 eV/atom; E above lowest polymorph = 2.010 eV/atom
1.0
4.960 0.000 0.000
0.000 4.960 0.000
0.000 0.000 4.960
Be Tl Ru
1 1 3
Cartesian
0.000 0.000 0.000
2.480 2.480 2.480
0.000 2.480 2.480
2.480 0.000 2.480
2.480 2.480 0.000

=====

PBE Cd5Au, relaxed; symmetry = Cm (8); energy relative to the elements = -0.0655 eV per atom; E = -1.374 eV/atom; E above lowest polymorph = 0.003 eV/atom
1.0
5.559 -1.579 0.000
5.559 1.579 0.000
-1.471 0.000 7.210
Cd Au
5 1
Cartesian
0.000 0.000 0.000
-0.399 0.000 4.440
3.911 0.000 2.030
6.949 0.000 2.535
6.676 0.000 6.753
2.666 0.000 4.798

=====

PBE K2Rb5Na, relaxed; symmetry = Cmcm (63); energy relative to the elements = 0.0176 eV per atom; E = -1.026 eV/atom; E above lowest polymorph = 0.000 eV/atom
1.0
3.457 -7.786 0.000
3.457 7.786 0.000
0.000 0.000 23.619
K Rb Na
4 10 2
Cartesian
3.457 3.993 15.525
3.457 3.993 19.903
3.457 -3.993 3.716
3.457 -3.993 8.094
3.457 6.980 2.418
3.457 6.980 9.392
3.457 2.323 0.934
3.457 2.323 10.875
3.457 0.385 5.905
3.457 -0.385 17.714
3.457 -2.323 12.744
3.457 -2.323 22.685
3.457 -6.980 14.227
3.457 -6.980 21.201
3.457 4.643 5.905
3.457 -4.643 17.714

=====

PBE Pr3Co5S12, relaxed; symmetry = Ia-3d (230); formation energy (no corrections) = -16.8 eV/f.u.; E = -5.811 eV/atom
1.0
-7.324 7.324 7.324
7.324 -7.324 7.324
7.324 7.324 -7.324
Pr Co S
12 20 48
Cartesian
3.662 1.831 0.000
7.324 3.662 -1.831
1.831 0.000 3.662
9.155 0.000 3.662
0.000 3.662 1.831
3.662 -1.831 7.324
3.662 9.155 0.000
7.324 3.662 5.493
-1.831 7.324 3.662
5.493 7.324 3.662
0.000 3.662 9.155
3.662 5.493 7.324
0.000 0.000 0.000
3.662 3.662 -3.662
3.662 -3.662 3.662
7.324 0.000 0.000
10.986 1.831 0.000
7.324 -3.662 5.493
5.493 7.324 -3.662
5.493 0.000 3.662
3.662 5.493 0.000
7.324 3.662 1.831
-3.662 3.662 3.662
0.000 7.324 0.000
0.000 0.000 7.324
3.662 3.662 3.662
0.000 3.662 5.493
3.662 1.831 7.324
1.831 7.324 3.662
1.831 0.000 10.986
0.000 10.986 1.831
-3.662 5.493 7.324
2.109 -0.509 0.768
8.877 4.430 -4.170
9.433 0.509 0.768
8.877 -2.894 4.170
6.815 -0.768 2.109
11.494 -1.553 2.894
0.768 2.109 -0.509
10.218 3.153 -1.553
4.430 4.170 -1.553
6.556 2.109 0.509
-0.509 0.768 2.109
4.170 -1.553 4.430
6.815 6.556 -2.109
4.170 1.553 2.894
4.430 -4.170 8.877
6.556 -2.109 6.815
2.894 4.170 1.553
8.092 5.215 0.509
4.170 8.877 -2.894
6.815 0.768 5.215
2.109 6.815 -0.768
8.877 2.894 3.153
1.553 2.894 4.170
2.109 0.509 6.556
5.215 6.815 0.768
5.771 4.430 3.153
-1.553 4.430 4.170
5.215 0.509 8.092
0.509 6.556 2.109
3.153 -1.553 10.218
-0.768 2.109 6.815
4.430 3.153 5.771
0.768 9.433 0.509
2.894 11.494 -1.553
3.153 5.771 4.430
0.509 0.768 9.433
3.153 8.877 2.894
7.832 6.556 5.215
0.768 5.215 6.815
2.894 3.153 8.877
-2.894 4.170 8.877
6.556 5.215 7.832
-4.170 8.877 4.430
0.509 8.092 5.215
-1.553 10.218 3.153
-2.109 6.815 6.556
-1.553 2.894 11.494
5.215 7.832 6.556

=====

PBE CeCdAg2, relaxed; symmetry = Fm-3m (225); energy relative to the elements = -0.1589 eV per atom; E = -3.297 eV/atom; E above lowest polymorph = 0.004 eV/atom
1.0
0.000 3.568 3.568
3.568 0.000 3.568
3.568 3.568 0.000
Ce Cd Ag
1 1 2
Cartesian
0.000 0.000 0.000
3.568 3.568 3.568
1.784 1.784 1.784
5.351 5.351 5.351

=====

PBE Nb2GeRh, relaxed; symmetry = I-42d (122); energy relative to the elements = 0.0185 eV per atom; E = -8.009 eV/atom
1.0
-3.570 3.570 2.773
3.570 -3.570 2.773
3.570 3.570 -2.773
Nb Ge Rh
4 2 2
Cartesian
1.785 1.753 -0.693
1.817 -1.785 3.467
1.785 1.817 2.080
1.753 5.355 0.693
3.570 0.000 1.387
0.000 0.000 2.773
0.000 0.000 0.000
0.000 3.570 1.387